## Ba2ZnPt (PBE)

Data for a relaxed Ba2ZnPt crystal.

Cell: 7.5925 7.5925 7.5925 Å, 90.00 90.00 90.00°
With the nearest neighbours (Å) after each atom.
Atoms (fractional coordinates):
Ba (0.0000, 0.0000, 0.0000)  4 Zn 3.29, 4 Ba 3.29
Ba (0.0000, 0.5000, 0.5000)  4 Zn 3.29, 4 Ba 3.29
Ba (0.2500, 0.2500, 0.2500)  4 Ba 3.29, 4 Pt 3.29
Ba (0.2500, 0.7500, 0.7500)  4 Ba 3.29, 4 Pt 3.29
Ba (0.5000, 0.0000, 0.5000)  4 Zn 3.29, 4 Ba 3.29
Ba (0.5000, 0.5000, 0.0000)  4 Zn 3.29, 4 Ba 3.29
Ba (0.7500, 0.2500, 0.7500)  4 Ba 3.29, 4 Pt 3.29
Ba (0.7500, 0.7500, 0.2500)  4 Ba 3.29, 4 Pt 3.29
Zn (0.2500, 0.2500, 0.7500)  4 Ba 3.29, 4 Pt 3.29
Zn (0.2500, 0.7500, 0.2500)  4 Ba 3.29, 4 Pt 3.29
Zn (0.7500, 0.2500, 0.2500)  4 Ba 3.29, 4 Pt 3.29
Zn (0.7500, 0.7500, 0.7500)  4 Ba 3.29, 4 Pt 3.29
Pt (0.0000, 0.0000, 0.5000)  4 Ba 3.29, 4 Zn 3.29
Pt (0.0000, 0.5000, 0.0000)  4 Ba 3.29, 4 Zn 3.29
Pt (0.5000, 0.0000, 0.0000)  4 Ba 3.29, 4 Zn 3.29
Pt (0.5000, 0.5000, 0.5000)  4 Ba 3.29, 4 Zn 3.29

Output
* electronic total energy: -47.2 eV for the cell shown